Density functional theory data (PBE) for crystalline InCu3Au3 at its relaxed geometry.

The value obtained for the size of the total moment is 0.00 μB/cell. For the formation energy, the calculation gives 0.02 eV/atom. The value obtained for the relative energy among the computed polymorphs is 0.048 eV per atom. For the theoretical density, the calculation gives 12.2 Mg/m³.

It has space group R-3 (No. 148, hexagonal axes), with a = 6.6033 Å, b = 6.6033 Å, c = 19.3195 Å, α = 90.00°, β = 90.00° and γ = 120.00°. Symmetry generates all atoms from In at (0.0000, 0.0000, 0.1766), Cu at (0.0404, 0.2571, 0.7003) and Au at (0.0401, 0.2695, 0.5658).